Entry 1:
This record from the Alexandria database describes a crystal of Sr2AlCd relaxed with PBEsol. The functional is SCAN.

Cell lengths 3.8902, 3.8902, 8.0276 Å; angles 90.00, 90.00, 90.00 degrees
Element x y z (fractional)
Cd  0.5000  0.5000  0.0000
Sr  0.0000  0.0000  0.7449
Al  0.5000  0.5000  0.5000
Sr  0.0000  0.0000  0.2551

Properties
The space group is P4/mmm, No. 123. Its formation energy is -0.2434 eV/atom. The calculation puts the energy at -20.923 eV/atom.

Entry 2:
This record from the Alexandria database describes a crystal of TaAl2Cd relaxed with PBEsol. The functional is SCAN.

Cell lengths 2.9121, 4.9455, 5.4385 Å; angles 113.42, 105.53, 90.00 degrees
Element x y z (fractional)
Ta  0.2540  0.8429  0.5080
Al  0.9971  0.9125  0.9942
Cd  0.5021  0.4220  0.0042
Al  0.7468  0.3226  0.4936

Properties
The space group is Cm, No. 8. Its formation energy is -0.0477 eV/atom. The calculation puts the energy at -28.173 eV/atom.

> Among the records above, which one has the lowest energy?

TaAl2Cd

> The highest energy belongs to which entry?

Sr2AlCd

Copy entry 2 word for word.
This record from the Alexandria database describes a crystal of TaAl2Cd relaxed with PBEsol. The functional is SCAN.

Cell lengths 2.9121, 4.9455, 5.4385 Å; angles 113.42, 105.53, 90.00 degrees
Element x y z (fractional)
Ta  0.2540  0.8429  0.5080
Al  0.9971  0.9125  0.9942
Cd  0.5021  0.4220  0.0042
Al  0.7468  0.3226  0.4936

Properties
The space group is Cm, No. 8. Its formation energy is -0.0477 eV/atom. The calculation puts the energy at -28.173 eV/atom.

> Among the records above, which one has the highest energy?

Sr2AlCd